Entry 1:
Here is an optimized crystal structure of Si2PtW from Alexandria via LeMat-Bulk. Energies are from PBE.

CIF file:
```
data_Si2PtW
_cell_length_a 3.2690
_cell_length_b 3.2690
_cell_length_c 5.4587
_cell_angle_alpha 90.00
_cell_angle_beta 90.00
_cell_angle_gamma 90.00
_symmetry_space_group_name_H-M 'P 1'
_symmetry_Int_Tables_number 1
_symmetry_space_group_name_Hall 'P 1'
loop_
_atom_site_label
_atom_site_type_symbol
_atom_site_fract_x
_atom_site_fract_y
_atom_site_fract_z
Pt1 Pt 0.5000 0.5000 0.8011
Si1 Si 0.0000 0.0000 0.9825
Si2 Si 0.5000 0.5000 0.2621
W1 W 0.0000 0.0000 0.4543
```

The calculation puts the uncorrected formation energy at -0.272 eV/atom. The offset from the most stable computed form comes out at 0 meV/atom.

***

Entry 2:
Here is an optimized crystal structure of EuGdDySc from Alexandria via LeMat-Bulk. Energies are from PBE.

CIF file:
```
data_EuGdDySc
_cell_length_a 5.6191
_cell_length_b 5.6191
_cell_length_c 5.6191
_cell_angle_alpha 60.00
_cell_angle_beta 60.00
_cell_angle_gamma 60.00
_symmetry_space_group_name_H-M 'P 1'
_symmetry_Int_Tables_number 1
_symmetry_space_group_name_Hall 'P 1'
loop_
_atom_site_label
_atom_site_type_symbol
_atom_site_fract_x
_atom_site_fract_y
_atom_site_fract_z
Eu1 Eu 0.7500 0.7500 0.7500
Sc1 Sc 0.0000 0.0000 0.0000
Gd1 Gd 0.2500 0.2500 0.2500
Dy1 Dy 0.5000 0.5000 0.5000
```

The calculation puts the energy of formation at 0.16 eV/atom.

***

Entry 3:
Here is an optimized crystal structure of Y3Sc2Sb3 from Alexandria via LeMat-Bulk. Energies are from PBE.

CIF file:
```
data_Y3Sc2Sb3
_cell_length_a 6.1174
_cell_length_b 8.8001
_cell_length_c 8.8001
_cell_angle_alpha 120.00
_cell_angle_beta 90.00
_cell_angle_gamma 90.00
_symmetry_space_group_name_H-M 'P 1'
_symmetry_Int_Tables_number 1
_symmetry_space_group_name_Hall 'P 1'
loop_
_atom_site_label
_atom_site_type_symbol
_atom_site_fract_x
_atom_site_fract_y
_atom_site_fract_z
Y1 Y 0.7500 0.2469 0.0000
Y2 Y 0.7500 0.7531 0.7531
Y3 Y 0.7500 0.0000 0.2469
Y4 Y 0.2500 0.7531 0.0000
Y5 Y 0.2500 0.2469 0.2469
Y6 Y 0.2500 0.0000 0.7531
Sc1 Sc 0.0000 0.3333 0.6667
Sc2 Sc 0.5000 0.6667 0.3333
Sc3 Sc 0.0000 0.6667 0.3333
Sc4 Sc 0.5000 0.3333 0.6667
Sb1 Sb 0.7500 0.6053 0.0000
Sb2 Sb 0.7500 0.3947 0.3947
Sb3 Sb 0.7500 0.0000 0.6053
Sb4 Sb 0.2500 0.3947 0.0000
Sb5 Sb 0.2500 0.6053 0.6053
Sb6 Sb 0.2500 0.0000 0.3947
```

The calculation puts the uncorrected formation energy at -0.946 eV/atom.

***

Entry 4:
Here is an optimized crystal structure of Y2Zn3Cd from Alexandria via LeMat-Bulk. Energies are from PBE.

CIF file:
```
data_Y2Zn3Cd
_cell_length_a 3.7374
_cell_length_b 4.4821
_cell_length_c 8.5196
_cell_angle_alpha 105.25
_cell_angle_beta 102.67
_cell_angle_gamma 90.00
_symmetry_space_group_name_H-M 'P 1'
_symmetry_Int_Tables_number 1
_symmetry_space_group_name_Hall 'P 1'
loop_
_atom_site_label
_atom_site_type_symbol
_atom_site_fract_x
_atom_site_fract_y
_atom_site_fract_z
Y1 Y 0.1360 0.1360 0.2720
Y2 Y 0.8622 0.3622 0.7244
Zn1 Zn 0.6996 0.6996 0.3992
Zn2 Zn 0.5456 0.5456 0.0911
Zn3 Zn 0.2958 0.7958 0.5917
Cd1 Cd 0.4608 0.9608 0.9216
```

The offset from the most stable computed form comes out at 78 meV/atom. The calculation puts the energy of formation at -0.28 eV/atom.

***

Entry 5:
Here is an optimized crystal structure of Nb2CrPd from Alexandria via LeMat-Bulk. Energies are from PBE.

CIF file:
```
data_Nb2CrPd
_cell_length_a 3.2381
_cell_length_b 4.4468
_cell_length_c 4.4468
_cell_angle_alpha 90.00
_cell_angle_beta 90.00
_cell_angle_gamma 90.00
_symmetry_space_group_name_H-M 'P 1'
_symmetry_Int_Tables_number 1
_symmetry_space_group_name_Hall 'P 1'
loop_
_atom_site_label
_atom_site_type_symbol
_atom_site_fract_x
_atom_site_fract_y
_atom_site_fract_z
Cr1 Cr 0.5000 0.0000 0.0000
Nb1 Nb 0.0000 0.0000 0.5000
Nb2 Nb 0.0000 0.5000 0.0000
Pd1 Pd 0.5000 0.5000 0.5000
```

The offset from the most stable computed form comes out at 105 meV/atom. The calculation puts the energy of formation at 0.02 eV/atom.

***

Entry 6:
Here is an optimized crystal structure of YMn3Sn from Alexandria via LeMat-Bulk. Energies are from PBE.

CIF file:
```
data_YMn3Sn
_cell_length_a 5.3853
_cell_length_b 5.3853
_cell_length_c 5.3853
_cell_angle_alpha 90.00
_cell_angle_beta 90.00
_cell_angle_gamma 90.00
_symmetry_space_group_name_H-M 'P 1'
_symmetry_Int_Tables_number 1
_symmetry_space_group_name_Hall 'P 1'
loop_
_atom_site_label
_atom_site_type_symbol
_atom_site_fract_x
_atom_site_fract_y
_atom_site_fract_z
Y1 Y 0.0000 0.0000 0.0000
Mn1 Mn 0.0000 0.5000 0.0000
Mn2 Mn 0.0000 0.0000 0.5000
Mn3 Mn 0.5000 0.0000 0.0000
Sn1 Sn 0.5000 0.5000 0.5000
```

The calculation puts the energy of formation at 1.53 eV/atom.

***

Entry 7:
Here is an optimized crystal structure of KLiHg from Alexandria via LeMat-Bulk. Energies are from PBE.

CIF file:
```
data_KLiHg
_cell_length_a 6.7894
_cell_length_b 6.7894
_cell_length_c 6.7894
_cell_angle_alpha 147.45
_cell_angle_beta 146.57
_cell_angle_gamma 47.35
_symmetry_space_group_name_H-M 'P 1'
_symmetry_Int_Tables_number 1
_symmetry_space_group_name_Hall 'P 1'
loop_
_atom_site_label
_atom_site_type_symbol
_atom_site_fract_x
_atom_site_fract_y
_atom_site_fract_z
K1 K 0.3408 0.3408 0.0000
Hg1 Hg 0.0501 0.0501 0.0000
Li1 Li 0.6091 0.6091 0.0000
```

The offset from the most stable computed form comes out at 36 meV/atom. The calculation puts the energy of formation at -0.16 eV/atom.

***

Entry 8:
Here is an optimized crystal structure of Na2Cd3Ag from Alexandria via LeMat-Bulk. Energies are from PBE.

CIF file:
```
data_Na2Cd3Ag
_cell_length_a 5.9165
_cell_length_b 5.9165
_cell_length_c 9.5604
_cell_angle_alpha 90.00
_cell_angle_beta 90.00
_cell_angle_gamma 120.00
_symmetry_space_group_name_H-M 'P 1'
_symmetry_Int_Tables_number 1
_symmetry_space_group_name_Hall 'P 1'
loop_
_atom_site_label
_atom_site_type_symbol
_atom_site_fract_x
_atom_site_fract_y
_atom_site_fract_z
Na1 Na 0.6667 0.3333 0.4384
Na2 Na 0.3333 0.6667 0.5616
Na3 Na 0.3333 0.6667 0.9384
Na4 Na 0.6667 0.3333 0.0616
Cd1 Cd 0.1682 0.3364 0.2500
Cd2 Cd 0.3364 0.1682 0.7500
Cd3 Cd 0.8318 0.6636 0.7500
Cd4 Cd 0.1682 0.8318 0.2500
Cd5 Cd 0.8318 0.1682 0.7500
Cd6 Cd 0.6636 0.8318 0.2500
Ag1 Ag 0.0000 0.0000 0.5000
Ag2 Ag 0.0000 0.0000 0.0000
```

The offset from the most stable computed form comes out at 0 meV/atom. The calculation puts the energy of formation at -0.13 eV/atom.

***

Entry 9:
Here is an optimized crystal structure of CaTc2Rh from Alexandria via LeMat-Bulk. Energies are from PBE.

CIF file:
```
data_CaTc2Rh
_cell_length_a 4.7144
_cell_length_b 4.7144
_cell_length_c 5.6147
_cell_angle_alpha 81.37
_cell_angle_beta 81.37
_cell_angle_gamma 35.33
_symmetry_space_group_name_H-M 'P 1'
_symmetry_Int_Tables_number 1
_symmetry_space_group_name_Hall 'P 1'
loop_
_atom_site_label
_atom_site_type_symbol
_atom_site_fract_x
_atom_site_fract_y
_atom_site_fract_z
Ca1 Ca 0.4938 0.4938 0.5222
Rh1 Rh 0.7344 0.7344 0.7838
Tc1 Tc 0.0047 0.0047 0.0298
Tc2 Tc 0.2671 0.2671 0.1642
```

The offset from the most stable computed form comes out at 124 meV/atom. The calculation puts the energy of formation at 0.29 eV/atom.

***

Entry 10:
Here is an optimized crystal structure of NdYIrBr from Alexandria via LeMat-Bulk. Energies are from PBE.

CIF file:
```
data_NdYIrBr
_cell_length_a 4.1101
_cell_length_b 4.1097
_cell_length_c 8.1189
_cell_angle_alpha 90.02
_cell_angle_beta 104.65
_cell_angle_gamma 120.00
_symmetry_space_group_name_H-M 'P 1'
_symmetry_Int_Tables_number 1
_symmetry_space_group_name_Hall 'P 1'
loop_
_atom_site_label
_atom_site_type_symbol
_atom_site_fract_x
_atom_site_fract_y
_atom_site_fract_z
Nd1 Nd 0.5103 0.1528 0.6788
Y1 Y 0.0980 0.9469 0.0606
Ir1 Ir 0.3084 0.5520 0.8759
Br1 Br 0.9612 0.3790 0.3544
```

The calculation puts the uncorrected formation energy at -1.065 eV/atom.

***

Entry 11:
Here is an optimized crystal structure of MnSnAsPtI from Alexandria via LeMat-Bulk. Energies are from PBE.

CIF file:
```
data_MnSnAsPtI
_cell_length_a 9.9931
_cell_length_b 4.1028
_cell_length_c 7.1414
_cell_angle_alpha 90.00
_cell_angle_beta 118.58
_cell_angle_gamma 90.00
_symmetry_space_group_name_H-M 'P 1'
_symmetry_Int_Tables_number 1
_symmetry_space_group_name_Hall 'P 1'
loop_
_atom_site_label
_atom_site_type_symbol
_atom_site_fract_x
_atom_site_fract_y
_atom_site_fract_z
Mn1 Mn 0.6332 0.0000 0.1133
Mn2 Mn 0.6332 0.5000 0.6133
Sn1 Sn 0.1808 0.0000 0.4832
Sn2 Sn 0.1808 0.5000 0.9832
As1 As 0.4508 0.0000 0.3290
As2 As 0.4508 0.5000 0.8290
Pt1 Pt 0.3373 0.0000 0.9208
Pt2 Pt 0.3373 0.5000 0.4208
I1 I 0.8146 0.0000 0.9029
I2 I 0.8146 0.5000 0.4029
```

The calculation puts the uncorrected formation energy at -0.242 eV/atom. The offset from the most stable computed form comes out at 0 meV/atom.

***

Entry 12:
Here is an optimized crystal structure of Ac2TbPmBi4 from Alexandria via LeMat-Bulk. Energies are from PBE.

CIF file:
```
data_Ac2TbPmBi4
_cell_length_a 4.7125
_cell_length_b 8.1562
_cell_length_c 8.1564
_cell_angle_alpha 70.54
_cell_angle_beta 90.00
_cell_angle_gamma 90.00
_symmetry_space_group_name_H-M 'P 1'
_symmetry_Int_Tables_number 1
_symmetry_space_group_name_Hall 'P 1'
loop_
_atom_site_label
_atom_site_type_symbol
_atom_site_fract_x
_atom_site_fract_y
_atom_site_fract_z
Ac1 Ac 0.0000 0.0000 0.0000
Ac2 Ac 0.5000 0.0000 0.5000
Tb1 Tb 0.0000 0.5000 0.5000
Pm1 Pm 0.5000 0.5000 0.0000
Bi1 Bi 0.0000 0.7317 0.7535
Bi2 Bi 0.0000 0.2683 0.2465
Bi3 Bi 0.5000 0.7300 0.2592
Bi4 Bi 0.5000 0.2700 0.7408
```

The calculation puts the energy of formation at -0.94 eV/atom.

***

So what do the calculations give for Fermi-level density of states? Going down the list: 1.862; 6.887; 14.935; 5.273; 3.555; 5.396; 1.513; 2.635; 3.256; 1.038; 4.410; 1.069 states/eV per cell.
So what do the calculations give for E? Going down the list: -7.732; -8.657; -6.498; -3.227; -8.721; -6.067; -1.264; -1.503; -7.227; -6.507; -5.325; -5.082 eV/atom.